DFT (PBE) results for an optimized crystal structure of Tb3Y6TmSc2.

The structure in POSCAR format:
```
Tb3Y6TmSc2
1.0
6.092 0.001 0.002
-3.043 5.278 0.002
-1.017 -1.761 11.433
Tb Y Tm Sc
3 6 1 2
Cartesian
-2.028 3.517 5.718 Tb
4.060 0.001 5.718 Tb
1.016 1.759 5.718 Tb
3.051 1.746 8.651 Y
2.027 3.509 2.786 Y
-1.020 1.772 2.785 Y
-0.013 3.516 8.651 Y
0.005 0.009 8.650 Y
2.044 0.002 2.785 Y
0.000 0.000 0.000 Tm
0.002 3.519 0.002 Sc
3.047 1.760 0.002 Sc
```

E_tot = -69.288 eV for the cell shown
DFT formation energy = 0.04 eV/atom
Crystal system = monoclinic

DFT (PBE) results for an optimized crystal structure of YSiNi3.

The structure in POSCAR format:
```
YSiNi3
1.0
-1.839 3.877 2.422
-6.889 -1.262 -3.211
3.353 -3.737 3.517
Y Si Ni
2 2 6
Cartesian
-0.791 -1.267 1.428 Y
-4.583 0.145 1.300 Y
-3.444 -0.631 -1.606 Si
-0.919 1.938 1.211 Si
0.277 -1.086 4.454 Ni
1.196 -3.024 3.243 Ni
-6.571 1.902 -0.516 Ni
-5.651 -0.036 -1.727 Ni
-5.012 -2.040 -0.540 Ni
-0.363 0.918 3.267 Ni
```

E_tot = -63.669 eV for the cell shown
Energy above the most stable polymorph in this dataset = 0.00 eV per formula unit
Formation energy without anion corrections = -521 meV per atom
Crystal system = orthorhombic

DFT (PBE) results for an optimized crystal structure of FeNi2Os.

The structure in POSCAR format:
```
FeNi2Os
1.0
-3.532 2.235 1.621
-2.197 -2.428 3.062
4.323 1.079 -0.517
Fe Ni Os
1 2 1
Cartesian
-0.369 -0.723 2.443 Fe
0.000 0.000 0.000 Ni
-2.864 -0.097 2.342 Ni
-1.037 1.608 1.723 Os
```

E_tot = -30.776 eV for the cell shown
Energy above the most stable polymorph in this dataset = 0.21 eV per formula unit
DFT formation energy = 0.12 eV/atom
Crystal system = orthorhombic

DFT (PBE) results for an optimized crystal structure of K2PW.

The structure in POSCAR format:
```
K2PW
1.0
-5.162 -0.830 -3.035
1.299 -4.883 3.677
-2.601 0.362 1.385
K P W
2 1 1
Cartesian
0.000 0.000 0.000 K
-3.881 -0.234 -0.825 K
-0.651 -2.260 2.531 P
-1.931 -2.856 0.321 W
```

E_tot = -16.292 eV for the cell shown
Energy above the most stable polymorph in this dataset = 2.86 eV per formula unit
DFT formation energy = 1.07 eV/atom
Crystal system = monoclinic

Which of these has the lowest E_tot? Tb3Y6TmSc2